(1)
VASP calculation (PBE) on a relaxed structure of Ho3Lu2ScSb2Os.

Cell lengths 4.1133, 8.0474, 8.0474 Å; angles 119.37, 90.00, 90.00 degrees
Atoms (fractional coordinates):
Ho 0.0000 0.0000 0.0000
Ho 0.0000 0.5154 0.7548
Ho 0.0000 0.7548 0.5154
Lu 0.5000 0.1476 0.7577
Lu 0.5000 0.7577 0.1476
Sc 0.5000 0.3684 0.3684
Sb 0.0000 0.0951 0.4234
Sb 0.0000 0.4234 0.0951
Os 0.5000 0.7608 0.7608

density	9.5	g/cm3
calculated total energy	-6.008	eV/atom
calculated volume	25.79	Å³ per atom



(2)
VASP calculation (PBE) on a relaxed structure of Ho2LuSc3Sb2Os.

Cell lengths 4.1624, 7.7854, 7.7854 Å; angles 119.98, 90.00, 90.00 degrees
Atoms (fractional coordinates):
Ho 0.0000 0.1961 0.8039
Ho 0.0000 0.8039 0.1961
Lu 0.0000 0.5863 0.5863
Sc 0.5000 0.1973 0.4272
Sc 0.5000 0.4272 0.1973
Sc 0.5000 0.9699 0.9699
Sb 0.5000 0.5305 0.8614
Sb 0.5000 0.8614 0.5305
Os 0.0000 0.2020 0.2020

density	8.2	g/cm3
calculated total energy	-6.529	eV/atom
calculated volume	24.28	Å³ per atom



(3)
VASP calculation (PBE) on a relaxed structure of Ho3Lu3SbTeOs.

Cell lengths 8.1145, 8.1145, 4.1203 Å; angles 90.00, 90.00, 120.00 degrees
Atoms (fractional coordinates):
Ho 0.0046 0.6145 0.0000
Ho 0.3855 0.3901 0.0000
Ho 0.6099 0.9954 0.0000
Lu 0.0006 0.2352 0.5000
Lu 0.2346 0.9994 0.5000
Lu 0.7648 0.7654 0.5000
Sb 0.3333 0.6667 0.5000
Te 0.6667 0.3333 0.5000
Os 0.0000 0.0000 0.0000

density	10.3	g/cm3
calculated total energy	-5.812	eV/atom
calculated volume	26.11	Å³ per atom